(1)
The following is a PBE calculation of a geometry-optimized Li2TaAl structure, from Alexandria via LeMat-Bulk.

Cell lengths 2.7815, 4.8623, 5.0128 Å; angles 90.00, 90.00, 90.00 degrees
Fractional coordinates of all 4 atoms:
Li1 0.0000 0.0000 0.0000
Li2 0.5000 0.5000 0.0000
Ta1 0.0000 0.5000 0.5000
Al1 0.5000 0.0000 0.5000

Properties
uncorrected energy	-18.757	eV/cell
E above lowest polymorph	0.149	eV per atom
space group	Pmmm
energy of formation from the pure elements	0.17	eV per atom

(2)
The following is a PBE calculation of a geometry-optimized LiTaAl2 structure, from Alexandria via LeMat-Bulk.

Cell lengths 5.5348, 5.5348, 5.5348 Å; angles 149.74, 129.77, 59.77 degrees
Fractional coordinates of all 4 atoms:
Li1 0.0000 0.0000 0.0000
Ta1 0.7348 0.2348 0.5000
Al1 0.2397 0.7397 0.5000
Al2 0.4850 0.4850 0.0000

Properties
uncorrected energy	-21.417	eV/cell
space group	Imm2
energy of formation from the pure elements	-0.04	eV per atom

(3)
The following is a PBE calculation of a geometry-optimized LiTaAl2 structure, from Alexandria via LeMat-Bulk.

Cell lengths 4.7755, 4.7755, 5.2876 Å; angles 98.65, 98.65, 33.98 degrees
Fractional coordinates of all 4 atoms:
Li1 0.0000 0.0000 0.0000
Ta1 0.5000 0.5000 0.5000
Al1 0.2534 0.2534 0.7462
Al2 0.7466 0.7466 0.2538

Properties
uncorrected energy	-21.013	eV/cell
space group	C2/m
energy of formation from the pure elements	0.06	eV per atom

(4)
The following is a PBE calculation of a geometry-optimized Li2TaAl structure, from Alexandria via LeMat-Bulk.

Cell lengths 2.7440, 3.9380, 6.1931 Å; angles 90.00, 90.00, 90.00 degrees
Fractional coordinates of all 4 atoms:
Li1 0.0000 0.0000 0.0000
Li2 0.5000 0.5000 0.2339
Ta1 0.0000 0.0000 0.5118
Al1 0.5000 0.5000 0.7423

Properties
uncorrected energy	-18.844	eV/cell
E above lowest polymorph	0.127	eV per atom
space group	Pmm2
energy of formation from the pure elements	0.14	eV per atom

(5)
The following is a PBE calculation of a geometry-optimized LiTa4Al structure, from Alexandria via LeMat-Bulk.

Cell lengths 5.4727, 5.4727, 5.4727 Å; angles 60.00, 60.00, 60.00 degrees
Fractional coordinates of all 6 atoms:
Li1 0.0000 0.0000 0.0000
Ta1 0.1243 0.6252 0.6252
Ta2 0.6252 0.1243 0.6252
Ta3 0.6252 0.6252 0.1243
Ta4 0.6252 0.6252 0.6252
Al1 0.2500 0.2500 0.2500

Properties
uncorrected energy	-49.999	eV/cell
space group	F-43m
energy of formation from the pure elements	0.51	eV per atom

(6)
The following is a PBE calculation of a geometry-optimized Li2TaAl structure, from Alexandria via LeMat-Bulk.

Cell lengths 2.8145, 2.8145, 7.8705 Å; angles 90.00, 90.00, 90.00 degrees
Fractional coordinates of all 4 atoms:
Li1 0.0000 0.0000 0.2288
Li2 0.0000 0.0000 0.7712
Ta1 0.5000 0.5000 0.5000
Al1 0.5000 0.5000 0.0000

Properties
uncorrected energy	-18.444	eV/cell
E above lowest polymorph	0.227	eV per atom
space group	P4/mmm
energy of formation from the pure elements	0.24	eV per atom

(7)
The following is a PBE calculation of a geometry-optimized Li2TaAl structure, from Alexandria via LeMat-Bulk.

Cell lengths 5.4220, 5.4220, 5.5231 Å; angles 114.78, 114.78, 27.77 degrees
Fractional coordinates of all 4 atoms:
Li1 0.0000 0.0000 0.0000
Li2 0.2418 0.2418 0.9465
Ta1 0.7620 0.7620 0.4621
Al1 0.5030 0.5030 0.4928

Properties
uncorrected energy	-18.639	eV/cell
E above lowest polymorph	0.179	eV per atom
space group	Cm
energy of formation from the pure elements	0.20	eV per atom

(8)
The following is a PBE calculation of a geometry-optimized Li2TaAl structure, from Alexandria via LeMat-Bulk.

Cell lengths 2.6987, 2.6987, 9.8117 Å; angles 90.00, 90.00, 110.09 degrees
Fractional coordinates of all 4 atoms:
Li1 0.0000 0.0000 0.2399
Li2 0.0000 0.0000 0.7601
Ta1 0.5000 0.5000 0.5000
Al1 0.5000 0.5000 0.0000

Properties
uncorrected energy	-18.852	eV/cell
E above lowest polymorph	0.125	eV per atom
space group	Cmmm
energy of formation from the pure elements	0.14	eV per atom

(9)
The following is a PBE calculation of a geometry-optimized Li2TaAl structure, from Alexandria via LeMat-Bulk.

Cell lengths 5.8939, 5.8939, 5.8939 Å; angles 153.76, 130.78, 56.63 degrees
Fractional coordinates of all 4 atoms:
Li1 0.2311 0.2311 0.0000
Li2 0.7689 0.7689 0.0000
Ta1 0.5000 0.0000 0.5000
Al1 0.0000 0.5000 0.5000

Properties
uncorrected energy	-18.843	eV/cell
E above lowest polymorph	0.127	eV per atom
space group	Immm
energy of formation from the pure elements	0.14	eV per atom

(10)
The following is a PBE calculation of a geometry-optimized Li2TaAl6 structure, from Alexandria via LeMat-Bulk.

Cell lengths 7.6552, 7.6552, 2.9044 Å; angles 90.00, 90.00, 120.00 degrees
Fractional coordinates of all 9 atoms:
Li1 0.3333 0.6667 0.0000
Li2 0.6667 0.3333 0.0000
Ta1 0.0000 0.0000 0.5000
Al1 0.0000 0.3684 0.5000
Al2 0.0000 0.6898 0.0000
Al3 0.3102 0.3102 0.0000
Al4 0.3684 0.0000 0.5000
Al5 0.6316 0.6316 0.5000
Al6 0.6898 0.0000 0.0000

Properties
uncorrected energy	-38.088	eV/cell
space group	P-62m
energy of formation from the pure elements	0.01	eV per atom

(11)
The following is a PBE calculation of a geometry-optimized Li2TaAl structure, from Alexandria via LeMat-Bulk.

Cell lengths 10.0480, 10.0480, 10.0480 Å; angles 16.06, 16.06, 16.06 degrees
Fractional coordinates of all 4 atoms:
Li1 0.2470 0.2470 0.2470
Li2 0.7530 0.7530 0.7530
Ta1 0.0000 0.0000 0.0000
Al1 0.5000 0.5000 0.5000

Properties
uncorrected energy	-18.679	eV/cell
E above lowest polymorph	0.169	eV per atom
space group	R-3m
energy of formation from the pure elements	0.19	eV per atom

(12)
The following is a PBE calculation of a geometry-optimized LiTaAl2 structure, from Alexandria via LeMat-Bulk.

Cell lengths 2.9076, 4.1285, 5.5211 Å; angles 90.00, 90.00, 90.00 degrees
Fractional coordinates of all 4 atoms:
Li1 0.0000 0.0000 0.0000
Ta1 0.5000 0.5000 0.2692
Al1 0.0000 0.0000 0.4830
Al2 0.5000 0.5000 0.7716

Properties
uncorrected energy	-20.975	eV/cell
space group	Pmm2
energy of formation from the pure elements	0.07	eV per atom